[1]
CePm14Er: optimized geometry, PBE.

## Properties
VASP energy = -4.78 eV per atom
Total magnetization = 0.067 μB/atom
SG = P4/mmm (123)

The structure in POSCAR format:
```
CePm14Er
1.0
7.210 0.967 0.000
-0.967 7.210 0.000
0.000 0.000 10.280
Pm Ce Er
14 1 1
Direct
0.626 0.876 0.247 Pm
0.375 0.125 0.000 Pm
0.626 0.374 0.753 Pm
0.626 0.876 0.753 Pm
0.875 0.625 0.500 Pm
0.875 0.125 0.500 Pm
0.124 0.876 0.753 Pm
0.375 0.625 0.500 Pm
0.626 0.374 0.247 Pm
0.124 0.374 0.753 Pm
0.124 0.876 0.247 Pm
0.875 0.625 0.000 Pm
0.124 0.374 0.247 Pm
0.375 0.125 0.500 Pm
0.875 0.125 0.000 Ce
0.375 0.625 0.000 Er
```

---

[2]
CePm2Er4: optimized geometry, PBE.

## Properties
VASP energy = -4.77 eV per atom
Total magnetization = 0.125 μB/atom
SG = Cm (8)

The structure in POSCAR format:
```
CePm2Er4
1.0
-0.659 0.740 3.435
-2.715 -0.405 -2.293
1.482 -19.605 4.506
Pm Er Ce
2 4 1
Direct
0.624 0.249 0.094 Pm
0.714 0.429 0.382 Pm
0.903 0.805 0.948 Er
0.524 0.049 0.810 Er
0.430 0.860 0.526 Er
0.002 0.004 0.239 Er
0.804 0.608 0.668 Ce
```